Compound: Ca2RePb
Source: the Alexandria database
Functional: PBE
Structure: relaxed

Cell: 3.168 3.168 9.731 Å, 90.00 90.00 90.00°
Element x y z (fractional)
Pb  0.500  0.500  0.250
Ca  0.000  0.000  0.529
Ca  0.000  0.000  0.971
Re  0.500  0.500  0.750

Output
Its crystal system is tetragonal. Its formation enthalpy at 0 K is 8.601 kcal/mol of atoms. Its raw total energy is -18.67 eV per cell.

---

Compound: CaRePb
Source: the Alexandria database
Functional: PBE
Structure: relaxed

Cell: 5.971 5.971 5.971 Å, 145.13 145.14 50.13°
Element x y z (fractional)
Ca  0.009  0.009  0.000
Re  0.685  0.685  0.000
Pb  0.306  0.306  0.000

Output
Its crystal system is tetragonal. Its polymorph energy (0 for the lowest one) is 0.000 eV per atom. Its formation enthalpy at 0 K is 13.828 kcal/mol of atoms. Its raw total energy is -16.36 eV per cell.

---

Compound: CaRe4Pb
Source: the Alexandria database
Functional: PBE
Structure: relaxed

Cell: 5.394 5.394 5.394 Å, 60.00 60.00 60.00°
Element x y z (fractional)
Ca  0.750  0.750  0.750
Re  0.876  0.375  0.375
Re  0.375  0.375  0.375
Re  0.375  0.876  0.375
Re  0.375  0.375  0.876
Pb  0.000  0.000  0.000

Output
Its crystal system is cubic. Its formation enthalpy at 0 K is 11.760 kcal/mol of atoms. Its raw total energy is -52.44 eV per cell.

---

Compound: Ca2RePb
Source: the Alexandria database
Functional: PBE
Structure: relaxed

Cell: 5.281 3.090 5.852 Å, 89.87 90.00 90.00°
Element x y z (fractional)
Ca  0.000  0.123  0.958
Ca  0.500  0.127  0.281
Re  0.500  0.625  0.769
Pb  0.000  0.625  0.492

Output
Its crystal system is monoclinic. Its formation enthalpy at 0 K is 10.478 kcal/mol of atoms. Its raw total energy is -18.34 eV per cell.

---

Compound: Ca2RePb
Source: the Alexandria database
Functional: PBE
Structure: relaxed

Cell: 6.169 6.169 6.169 Å, 145.01 129.62 62.81°
Element x y z (fractional)
Ca  0.737  0.237  0.500
Ca  0.028  0.028  0.000
Re  0.269  0.769  0.500
Pb  0.465  0.465  0.000

Output
Its crystal system is orthorhombic. Its formation enthalpy at 0 K is 10.014 kcal/mol of atoms. Its raw total energy is -18.42 eV per cell.

---

Compound: Ca3RePb
Source: the Alexandria database
Functional: PBE
Structure: relaxed

Cell: 5.499 5.499 5.499 Å, 90.00 90.00 90.00°
Element x y z (fractional)
Ca  0.000  0.500  0.000
Ca  0.000  0.000  0.500
Ca  0.500  0.000  0.000
Re  0.000  0.000  0.000
Pb  0.500  0.500  0.500

Output
Its crystal system is cubic. Its polymorph energy (0 for the lowest one) is 0.000 eV per atom. Its formation enthalpy at 0 K is 13.887 kcal/mol of atoms. Its raw total energy is -19.15 eV per cell.

---

Compound: CaRePb
Source: the Alexandria database
Functional: PBE
Structure: relaxed

Cell: 5.041 5.041 3.019 Å, 90.00 90.00 120.00°
Element x y z (fractional)
Pb  0.333  0.667  0.500
Ca  0.000  0.000  0.000
Re  0.667  0.333  0.500

Output
Its crystal system is hexagonal. Its polymorph energy (0 for the lowest one) is 0.033 eV per atom. Its formation enthalpy at 0 K is 14.581 kcal/mol of atoms. Its raw total energy is -16.26 eV per cell.

---

Compound: Ca2RePb
Source: the Alexandria database
Functional: PBE
Structure: relaxed

Cell: 3.613 3.613 8.384 Å, 90.00 90.00 90.00°
Element x y z (fractional)
Re  0.500  0.500  0.705
Pb  0.000  0.000  0.552
Ca  0.000  0.000  0.931
Ca  0.500  0.500  0.311

Output
Its crystal system is tetragonal. Its formation enthalpy at 0 K is 9.631 kcal/mol of atoms. Its raw total energy is -18.49 eV per cell.

---

Compound: Ca2RePb
Source: the Alexandria database
Functional: PBE
Structure: relaxed

Cell: 10.150 10.150 7.664 Å, 48.53 48.53 90.00°
Element x y z (fractional)
Re  0.250  0.750  0.500
Re  0.500  0.500  0.000
Pb  0.750  0.250  0.500
Pb  0.000  0.000  0.000
Ca  0.271  0.625  0.250
Ca  0.375  0.521  0.750
Ca  0.479  0.125  0.250
Ca  0.875  0.729  0.750

Output
Its crystal system is tetragonal. Its formation enthalpy at 0 K is 15.598 kcal/mol of atoms. Its raw total energy is -34.91 eV per cell.

---

Compound: CaRePb3
Source: the Alexandria database
Functional: PBE
Structure: relaxed

Cell: 5.578 5.578 5.578 Å, 90.00 90.00 90.00°
Element x y z (fractional)
Re  0.500  0.500  0.500
Pb  0.000  0.500  0.000
Pb  0.000  0.000  0.500
Pb  0.500  0.000  0.000
Ca  0.000  0.000  0.000

Output
Its crystal system is cubic. Its polymorph energy (0 for the lowest one) is 1.565 eV per atom. Its formation enthalpy at 0 K is 46.489 kcal/mol of atoms. Its raw total energy is -15.49 eV per cell.

---

Compound: CaRePb3
Source: the Alexandria database
Functional: PBE
Structure: relaxed

Cell: 5.391 5.391 5.391 Å, 90.00 90.00 90.00°
Element x y z (fractional)
Pb  0.000  0.500  0.000
Pb  0.500  0.000  0.000
Pb  0.000  0.000  0.500
Re  0.000  0.000  0.000
Ca  0.500  0.500  0.500

Output
Its crystal system is cubic. Its polymorph energy (0 for the lowest one) is 0.000 eV per atom. Its formation enthalpy at 0 K is 10.403 kcal/mol of atoms. Its raw total energy is -23.32 eV per cell.

---

Compound: CaRePb
Source: the Alexandria database
Functional: PBE
Structure: relaxed

Cell: 3.320 3.320 7.254 Å, 90.00 90.00 120.00°
Element x y z (fractional)
Pb  0.667  0.333  0.365
Re  0.333  0.667  0.659
Ca  0.000  0.000  0.976

Output
Its crystal system is trigonal. Its polymorph energy (0 for the lowest one) is 0.171 eV per atom. Its formation enthalpy at 0 K is 17.776 kcal/mol of atoms. Its raw total energy is -15.85 eV per cell.

---

Compound: CaRePb
Source: the Alexandria database
Functional: PBE
Structure: relaxed

Cell: 4.796 4.796 4.796 Å, 60.00 60.00 60.00°
Element x y z (fractional)
Re  0.750  0.750  0.750
Pb  0.500  0.500  0.500
Ca  0.000  0.000  0.000

Output
Its crystal system is cubic. Its polymorph energy (0 for the lowest one) is 0.325 eV per atom. Its formation enthalpy at 0 K is 21.319 kcal/mol of atoms. Its raw total energy is -15.38 eV per cell.

---

Compound: Ca2RePb
Source: the Alexandria database
Functional: PBE
Structure: relaxed

Cell: 6.241 6.241 5.586 Å, 73.39 73.39 29.16°
Element x y z (fractional)
Re  0.228  0.228  0.221
Ca  0.772  0.772  0.697
Ca  0.962  0.962  0.065
Pb  0.537  0.537  0.517

Output
Its crystal system is monoclinic. Its formation enthalpy at 0 K is 10.015 kcal/mol of atoms. Its raw total energy is -18.42 eV per cell.

---

Compound: Ca2RePb
Source: the Alexandria database
Functional: PBE
Structure: relaxed

Cell: 5.581 5.581 5.581 Å, 131.13 131.01 71.70°
Element x y z (fractional)
Ca  0.000  0.000  0.000
Ca  0.500  0.500  0.000
Re  0.250  0.750  0.500
Pb  0.750  0.250  0.500

Output
Its crystal system is orthorhombic. Its formation enthalpy at 0 K is 11.965 kcal/mol of atoms. Its raw total energy is -18.08 eV per cell.

---

Compound: CaRePb
Source: the Alexandria database
Functional: PBE
Structure: relaxed

Cell: 4.947 4.947 4.947 Å, 60.00 60.00 60.00°
Element x y z (fractional)
Re  0.500  0.500  0.500
Ca  0.750  0.750  0.750
Pb  0.000  0.000  0.000

Output
Its crystal system is cubic. Its polymorph energy (0 for the lowest one) is 0.927 eV per atom. Its formation enthalpy at 0 K is 35.203 kcal/mol of atoms. Its raw total energy is -13.58 eV per cell.

---

Compound: Ca2RePb
Source: the Alexandria database
Functional: PBE
Structure: relaxed

Cell: 5.751 5.751 3.071 Å, 89.98 89.98 110.62°
Element x y z (fractional)
Re  0.000  0.500  0.500
Pb  0.500  0.000  0.500
Ca  0.500  0.500  0.000
Ca  0.000  0.000  0.000

Output
Its crystal system is orthorhombic. Its formation enthalpy at 0 K is 11.151 kcal/mol of atoms. Its raw total energy is -18.23 eV per cell.

---

Compound: Ca2RePb
Source: the Alexandria database
Functional: PBE
Structure: relaxed

Cell: 4.606 3.048 7.447 Å, 66.30 90.00 90.00°
Element x y z (fractional)
Pb  0.500  0.250  0.250
Ca  0.000  0.015  0.984
Ca  0.000  0.485  0.516
Re  0.500  0.750  0.750

Output
Its crystal system is monoclinic. Its formation enthalpy at 0 K is 10.143 kcal/mol of atoms. Its raw total energy is -18.40 eV per cell.

---

Compound: Ca3RePb
Source: the Alexandria database
Functional: PBE
Structure: relaxed

Cell: 5.883 5.883 5.883 Å, 90.00 90.00 90.00°
Element x y z (fractional)
Re  0.500  0.500  0.500
Pb  0.000  0.000  0.000
Ca  0.000  0.000  0.500
Ca  0.000  0.500  0.000
Ca  0.500  0.000  0.000

Output
Its crystal system is cubic. Its polymorph energy (0 for the lowest one) is 0.498 eV per atom. Its formation enthalpy at 0 K is 25.381 kcal/mol of atoms. Its raw total energy is -16.66 eV per cell.

---

Compound: CaRe3Pb
Source: the Alexandria database
Functional: PBE
Structure: relaxed

Cell: 5.051 5.051 5.051 Å, 90.00 90.00 90.00°
Element x y z (fractional)
Ca  0.500  0.500  0.500
Re  0.000  0.500  0.000
Re  0.500  0.000  0.000
Re  0.000  0.000  0.500
Pb  0.000  0.000  0.000

Output
Its crystal system is cubic. Its polymorph energy (0 for the lowest one) is 0.000 eV per atom. Its formation enthalpy at 0 K is 60.662 kcal/mol of atoms. Its raw total energy is -29.90 eV per cell.

---

What are the magnetic moment values for these records? In order: 0.1953 0.2827 0.0000 0.0000 0.1245 0.0001 0.0000 0.1556 0.0849 0.0001 0.0000 0.0001 0.2968 0.0000 0.3493 0.9060 0.0000 0.0000 0.6587 0.7271 μB per atom.